# Tb2PuHg4, optimized geometry, DFT PBE-GGA
data_Tb2PuHg4
_chemical_formula_sum 'Tb2 Pu1 Hg4'
_symmetry_space_group_name_H-M 'P 4/m m m'
_symmetry_Int_Tables_number 123
_symmetry_space_group_name_Hall '-P 4 2'
_cell_length_a 5.248
_cell_length_b 5.248
_cell_length_c 7.143
_cell_angle_alpha 90.00
_cell_angle_beta 90.00
_cell_angle_gamma 90.00
loop_
_atom_site_label
_atom_site_type_symbol
_atom_site_fract_x
_atom_site_fract_y
_atom_site_fract_z
Tb1 Tb 0.000 0.000 0.000
Tb2 Tb 0.500 0.500 0.500
Pu1 Pu 0.000 0.000 0.500
Hg1 Hg 0.000 0.500 0.235
# * ΔE_f: -222.5 meV/atom
# * V: 28.1 Å³/atom
# * E_tot: -3.7653 eV per atom
# * ρ: 11.51 g cm⁻³

---

# Tb2PuHg, optimized geometry, DFT PBE-GGA
data_Tb2PuHg
_chemical_formula_sum 'Tb8 Pu4 Hg4'
_symmetry_space_group_name_H-M 'F m -3 m'
_symmetry_Int_Tables_number 225
_symmetry_space_group_name_Hall '-F 4 2 3'
_cell_length_a 7.605
_cell_length_b 7.605
_cell_length_c 7.605
_cell_angle_alpha 90.00
_cell_angle_beta 90.00
_cell_angle_gamma 90.00
loop_
_atom_site_label
_atom_site_type_symbol
_atom_site_fract_x
_atom_site_fract_y
_atom_site_fract_z
Tb1 Tb 0.250 0.250 0.250
Pu1 Pu 0.000 0.000 0.000
Hg1 Hg 0.000 0.000 0.500
# * ΔE_f: 24.3 meV/atom
# * V: 27.5 Å³/atom
# * relative energy among the computed polymorphs: 162 meV/atom
# * E_tot: -5.9493 eV per atom
# * ρ: 11.52 g cm⁻³

---

# TbPu4Hg5, optimized geometry, DFT PBE-GGA
data_TbPu4Hg5
_chemical_formula_sum 'Tb1 Pu4 Hg5'
_symmetry_space_group_name_H-M 'P 4/m m m'
_symmetry_Int_Tables_number 123
_symmetry_space_group_name_Hall '-P 4 2'
_cell_length_a 3.352
_cell_length_b 3.352
_cell_length_c 22.635
_cell_angle_alpha 90.00
_cell_angle_beta 90.00
_cell_angle_gamma 90.00
loop_
_atom_site_label
_atom_site_type_symbol
_atom_site_fract_x
_atom_site_fract_y
_atom_site_fract_z
Tb1 Tb 0.000 0.000 0.000
Pu1 Pu 0.000 0.000 0.197
Pu2 Pu 0.000 0.000 0.399
Hg1 Hg 0.500 0.500 0.095
Hg2 Hg 0.500 0.500 0.298
Hg3 Hg 0.500 0.500 0.500
# * ΔE_f: -173.2 meV/atom
# * V: 25.4 Å³/atom
# * E_tot: -6.5199 eV per atom
# * ρ: 13.96 g cm⁻³